# 1
VASP calculation (GGA-PBE) on crystalline NaZn2Cu2 at its relaxed geometry.

a = 3.855 Å, b = 3.855 Å, c = 11.455 Å
α = 90.00°, β = 90.00°, γ = 90.00°
Fractional coordinates of all 10 atoms:
Na 0.000 0.000 0.000
Na 0.500 0.500 0.500
Zn 0.000 0.000 0.389
Zn 0.000 0.000 0.611
Zn 0.500 0.500 0.111
Zn 0.500 0.500 0.889
Cu 0.000 0.500 0.250
Cu 0.000 0.500 0.750
Cu 0.500 0.000 0.250
Cu 0.500 0.000 0.750

Properties
* V: 170 Å³/cell
* spin magnetization: 0.00 μB/cell
* SG: I4/mmm, No. 139
* calculated total energy: -2.324 eV/atom

=====

# 2
VASP calculation (GGA-PBE) on crystalline KNd2SmTe4 at its relaxed geometry.

a = 7.936 Å, b = 4.501 Å, c = 7.949 Å
α = 90.00°, β = 108.58°, γ = 90.00°
Fractional coordinates of all 8 atoms:
K 0.000 0.000 0.000
Nd 0.500 0.000 0.500
Nd 0.500 0.500 0.000
Sm 0.000 0.500 0.500
Te 0.251 0.000 0.743
Te 0.260 0.500 0.262
Te 0.740 0.500 0.738
Te 0.749 0.000 0.257

Properties
* V: 269 Å³/cell
* raw formation energy: -1378 meV/atom
* spin magnetization: 0.00 μB/cell
* SG: P2/m, No. 10

=====

# 3
VASP calculation (GGA-PBE) on crystalline ErZr2Ga6 at its relaxed geometry.

a = 7.608 Å, b = 7.608 Å, c = 7.608 Å
α = 148.35°, β = 127.71°, γ = 62.42°
Fractional coordinates of all 9 atoms:
Er 0.000 0.000 0.000
Zr 0.380 0.880 0.500
Zr 0.620 0.120 0.500
Ga 0.013 0.310 0.703
Ga 0.310 0.500 0.810
Ga 0.392 0.690 0.703
Ga 0.608 0.310 0.297
Ga 0.690 0.500 0.190
Ga 0.987 0.690 0.297

Properties
* V: 181 Å³/cell
* spin magnetization: 0.00 μB/cell
* SG: Immm, No. 71
* calculated total energy: -4.847 eV/atom

=====

# 4
VASP calculation (GGA-PBE) on crystalline NdAgSn2 at its relaxed geometry.

a = 4.704 Å, b = 4.704 Å, c = 4.521 Å
α = 90.00°, β = 90.00°, γ = 90.00°
Fractional coordinates of all 4 atoms:
Nd 0.000 0.000 0.000
Ag 0.500 0.500 0.000
Sn 0.000 0.500 0.500
Sn 0.500 0.000 0.500

Properties
* V: 100 Å³/cell
* spin magnetization: 0.00 μB/cell
* SG: P4/mmm, No. 123
* calculated total energy: -4.380 eV/atom

=====

# 5
VASP calculation (GGA-PBE) on crystalline Ta3BIr at its relaxed geometry.

a = 4.819 Å, b = 4.819 Å, c = 4.819 Å
α = 90.00°, β = 90.00°, γ = 90.00°
Fractional coordinates of all 5 atoms:
Ta 0.000 0.000 0.500
Ta 0.000 0.500 0.000
Ta 0.500 0.000 0.000
B 0.500 0.500 0.500
Ir 0.000 0.000 0.000

Properties
* V: 112 Å³/cell
* spin magnetization: 0.00 μB/cell
* SG: Pm-3m, No. 221
* calculated total energy: -8.358 eV/atom

=====

# 6
VASP calculation (GGA-PBE) on crystalline AcDyY at its relaxed geometry.

a = 5.291 Å, b = 15.393 Å, c = 5.302 Å
α = 90.00°, β = 90.00°, γ = 90.00°
Fractional coordinates of all 12 atoms:
Ac 0.000 0.250 0.250
Ac 0.000 0.750 0.750
Ac 0.500 0.250 0.750
Ac 0.500 0.750 0.250
Dy 0.000 0.078 0.750
Dy 0.000 0.922 0.250
Dy 0.500 0.422 0.250
Dy 0.500 0.578 0.750
Y 0.000 0.423 0.750
Y 0.000 0.577 0.250
Y 0.500 0.077 0.250
Y 0.500 0.923 0.750

Properties
* V: 432 Å³/cell
* spin magnetization: 0.00 μB/cell
* SG: Cmcm, No. 63
* calculated total energy: -4.996 eV/atom

=====

# 7
VASP calculation (GGA-PBE) on crystalline Zr2ZnNi4 at its relaxed geometry.

a = 4.653 Å, b = 4.661 Å, c = 6.265 Å
α = 70.48°, β = 82.81°, γ = 63.28°
Fractional coordinates of all 7 atoms:
Zr 0.012 0.345 0.286
Zr 0.988 0.655 0.714
Zn 0.500 0.000 0.000
Ni 0.000 0.000 0.000
Ni 0.330 0.669 0.345
Ni 0.500 0.500 0.000
Ni 0.670 0.331 0.655

Properties
* V: 114 Å³/cell
* spin magnetization: 0.00 μB/cell
* SG: P-1, No. 2
* calculated total energy: -6.067 eV/atom

=====

# 8
VASP calculation (GGA-PBE) on crystalline La8Ho5Er at its relaxed geometry.

a = 8.668 Å, b = 8.668 Å, c = 9.243 Å
α = 121.98°, β = 121.98°, γ = 81.26°
Fractional coordinates of all 14 atoms:
La 0.057 0.057 0.275
La 0.101 0.287 0.764
La 0.379 0.496 0.715
La 0.504 0.621 0.285
La 0.566 0.129 0.956
La 0.713 0.899 0.236
La 0.871 0.434 0.044
La 0.943 0.943 0.725
Ho 0.229 0.771 0.500
Ho 0.335 0.280 0.246
Ho 0.533 0.093 0.538
Ho 0.720 0.665 0.754
Ho 0.907 0.467 0.462
Er 0.219 0.781 0.000

Properties
* V: 492 Å³/cell
* spin magnetization: 0.00 μB/cell
* SG: C2, No. 5
* calculated total energy: -4.614 eV/atom